1.
Density functional theory data (meta-GGA SCAN) for a PBEsol-optimized structure of Cs3CoF6.

a b c (Å): 6.488 6.488 6.488
angles (deg): 60.00 60.00 60.00
Element x y z (fractional)
Cs  0.250  0.250  0.250
Cs  0.750  0.750  0.750
Cs  0.500  0.500  0.500
Co  0.000  0.000  0.000
F  0.799  0.201  0.201
F  0.201  0.799  0.799
F  0.799  0.201  0.799
F  0.201  0.799  0.201
F  0.799  0.799  0.201
F  0.201  0.201  0.799

Output
- Symmetry: No. 225

2.
Density functional theory data (meta-GGA SCAN) for a PBEsol-optimized structure of Cs2CoF.

a b c (Å): 5.600 5.600 5.600
angles (deg): 60.00 60.00 60.00
Element x y z (fractional)
Cs  0.250  0.250  0.250
Cs  0.750  0.750  0.750
Co  0.500  0.500  0.500
F  0.000  0.000  0.000

Output
- Symmetry: No. 225

Q: Which VASP energy values were calculated for the entries above? A: -17.946, -24.486, in eV per atom.